[1]
# SrTlH3 | the Alexandria database | PBE | optimized geometry
# **Total magnetic moment**: 0.00 Bohr magnetons per cell
# **Energy relative to the lowest polymorph listed for this composition**: 0.00 eV per formula unit
# **Symmetry**: No. 221
data_SrTlH3
_cell_length_a 4.642
_cell_length_b 4.642
_cell_length_c 4.642
_cell_angle_alpha 90.00
_cell_angle_beta 90.00
_cell_angle_gamma 90.00
_space_group_name_H-M_alt 'P 1'
_space_group_IT_number 1
loop_
_space_group_symop_operation_xyz
'x,y,z'
loop_
_atom_site_label
_atom_site_fract_x
_atom_site_fract_y
_atom_site_fract_z
Tl1 0.500 0.500 0.500
H1 0.000 0.000 0.500
H2 0.500 0.000 0.000
H3 0.000 0.500 0.000
Sr1 0.000 0.000 0.000

***

[2]
# La3NdTm3 | the Alexandria database | PBE | optimized geometry
# **Energy of formation**: 0.94 eV per formula unit
# **Total magnetic moment**: 0.00 Bohr magnetons per cell
# **Symmetry**: No. 148
data_La3NdTm3
_cell_length_a 8.310
_cell_length_b 8.310
_cell_length_c 8.310
_cell_angle_alpha 69.42
_cell_angle_beta 69.42
_cell_angle_gamma 69.42
_space_group_name_H-M_alt 'P 1'
_space_group_IT_number 1
loop_
_space_group_symop_operation_xyz
'x,y,z'
loop_
_atom_site_label
_atom_site_fract_x
_atom_site_fract_y
_atom_site_fract_z
Tm1 0.974 0.689 0.554
Tm2 0.554 0.974 0.689
Tm3 0.026 0.311 0.446
Tm4 0.311 0.446 0.026
Tm5 0.446 0.026 0.311
Tm6 0.689 0.554 0.974
La1 0.165 0.873 0.730
La2 0.835 0.127 0.270
La3 0.270 0.835 0.127
La4 0.127 0.270 0.835
La5 0.873 0.730 0.165
La6 0.730 0.165 0.873
Nd1 0.591 0.591 0.591
Nd2 0.409 0.409 0.409

***

[3]
# LiAcDyPt | the Alexandria database | PBE | optimized geometry
# **Energy of formation**: -2.02 eV per formula unit
# **Total magnetic moment**: 0.00 Bohr magnetons per cell
# **Symmetry**: No. 216
data_LiAcDyPt
_cell_length_a 5.228
_cell_length_b 5.228
_cell_length_c 5.228
_cell_angle_alpha 60.00
_cell_angle_beta 60.00
_cell_angle_gamma 60.00
_space_group_name_H-M_alt 'P 1'
_space_group_IT_number 1
loop_
_space_group_symop_operation_xyz
'x,y,z'
loop_
_atom_site_label
_atom_site_fract_x
_atom_site_fract_y
_atom_site_fract_z
Pt1 0.500 0.500 0.500
Li1 0.000 0.000 0.000
Ac1 0.750 0.750 0.750
Dy1 0.250 0.250 0.250

***

[4]
# Ba2NaSrBi | the Alexandria database | PBE | optimized geometry
# **Energy of formation**: 1.27 eV per formula unit
# **Total magnetic moment**: 1.69 Bohr magnetons per cell
# **Symmetry**: No. 123
data_Ba2NaSrBi
_cell_length_a 7.100
_cell_length_b 6.137
_cell_length_c 7.100
_cell_angle_alpha 90.00
_cell_angle_beta 90.00
_cell_angle_gamma 90.00
_space_group_name_H-M_alt 'P 1'
_space_group_IT_number 1
loop_
_space_group_symop_operation_xyz
'x,y,z'
loop_
_atom_site_label
_atom_site_fract_x
_atom_site_fract_y
_atom_site_fract_z
Ba1 0.000 0.000 0.500
Ba2 0.500 0.000 0.000
Na1 0.500 0.500 0.500
Sr1 0.000 0.000 0.000
Bi1 0.000 0.500 0.000

***

[5]
# Be2ZnSe | the Alexandria database | PBE | optimized geometry
# **Total magnetic moment**: 0.00 Bohr magnetons per cell
# **Energy relative to the lowest polymorph listed for this composition**: 1.88 eV per formula unit
# **Raw formation energy**: 0.552 eV per atom
# **Symmetry**: No. 139
data_Be2ZnSe
_cell_length_a 4.620
_cell_length_b 4.620
_cell_length_c 4.620
_cell_angle_alpha 130.73
_cell_angle_beta 130.73
_cell_angle_gamma 72.24
_space_group_name_H-M_alt 'P 1'
_space_group_IT_number 1
loop_
_space_group_symop_operation_xyz
'x,y,z'
loop_
_atom_site_label
_atom_site_fract_x
_atom_site_fract_y
_atom_site_fract_z
Zn1 0.750 0.250 0.500
Se1 0.250 0.750 0.500
Be1 0.000 0.000 0.000
Be2 0.500 0.500 0.000

***

[6]
# TbEr2Pd3 | the Alexandria database | PBE | optimized geometry
# **Energy of formation**: -5.44 eV per formula unit
# **Total magnetic moment**: 0.00 Bohr magnetons per cell
# **Energy relative to the lowest polymorph listed for this composition**: 0.00 eV per formula unit
# **Symmetry**: No. 65
data_TbEr2Pd3
_cell_length_a 3.421
_cell_length_b 4.985
_cell_length_c 14.967
_cell_angle_alpha 90.00
_cell_angle_beta 90.00
_cell_angle_gamma 90.00
_space_group_name_H-M_alt 'P 1'
_space_group_IT_number 1
loop_
_space_group_symop_operation_xyz
'x,y,z'
loop_
_atom_site_label
_atom_site_fract_x
_atom_site_fract_y
_atom_site_fract_z
Tb1 0.999 0.500 0.500
Tb2 0.001 0.000 0.000
Er1 0.000 0.500 0.833
Er2 0.000 0.000 0.333
Er3 0.000 0.500 0.167
Er4 0.000 0.000 0.667
Pd1 0.501 0.000 0.170
Pd2 0.499 0.500 0.670
Pd3 0.499 0.500 0.330
Pd4 0.500 0.500 0.000
Pd5 0.501 0.000 0.830
Pd6 0.500 0.000 0.500

***

[7]
# GdYPt4 | the Alexandria database | PBE | optimized geometry
# **Energy of formation**: -6.66 eV per formula unit
# **Total magnetic moment**: 7.08 Bohr magnetons per cell
# **Symmetry**: No. 216
data_GdYPt4
_cell_length_a 5.450
_cell_length_b 5.450
_cell_length_c 5.450
_cell_angle_alpha 60.00
_cell_angle_beta 60.00
_cell_angle_gamma 60.00
_space_group_name_H-M_alt 'P 1'
_space_group_IT_number 1
loop_
_space_group_symop_operation_xyz
'x,y,z'
loop_
_atom_site_label
_atom_site_fract_x
_atom_site_fract_y
_atom_site_fract_z
Pt1 0.625 0.125 0.625
Pt2 0.625 0.625 0.125
Pt3 0.625 0.625 0.625
Pt4 0.125 0.625 0.625
Y1 0.250 0.250 0.250
Gd1 0.000 0.000 0.000

***

[8]
# AgSbPb | the Alexandria database | PBE | optimized geometry
# **Total magnetic moment**: 0.00 Bohr magnetons per cell
# **Energy relative to the lowest polymorph listed for this composition**: 0.15 eV per formula unit
# **Raw formation energy**: 0.073 eV per atom
# **Symmetry**: No. 12
data_AgSbPb
_cell_length_a 6.088
_cell_length_b 4.495
_cell_length_c 12.336
_cell_angle_alpha 90.00
_cell_angle_beta 109.78
_cell_angle_gamma 90.00
_space_group_name_H-M_alt 'P 1'
_space_group_IT_number 1
loop_
_space_group_symop_operation_xyz
'x,y,z'
loop_
_atom_site_label
_atom_site_fract_x
_atom_site_fract_y
_atom_site_fract_z
Ag1 0.333 0.500 0.211
Ag2 0.667 0.500 0.789
Ag3 0.667 0.000 0.289
Ag4 0.333 0.000 0.711
Pb1 0.806 0.500 0.146
Pb2 0.194 0.500 0.854
Pb3 0.806 0.000 0.646
Pb4 0.194 0.000 0.354
Sb1 0.734 0.000 0.944
Sb2 0.734 0.500 0.444
Sb3 0.266 0.000 0.056
Sb4 0.266 0.500 0.556

***

Copy entry 7 word for word.
# GdYPt4 | the Alexandria database | PBE | optimized geometry
# **Energy of formation**: -6.66 eV per formula unit
# **Total magnetic moment**: 7.08 Bohr magnetons per cell
# **Symmetry**: No. 216
data_GdYPt4
_cell_length_a 5.450
_cell_length_b 5.450
_cell_length_c 5.450
_cell_angle_alpha 60.00
_cell_angle_beta 60.00
_cell_angle_gamma 60.00
_space_group_name_H-M_alt 'P 1'
_space_group_IT_number 1
loop_
_space_group_symop_operation_xyz
'x,y,z'
loop_
_atom_site_label
_atom_site_fract_x
_atom_site_fract_y
_atom_site_fract_z
Pt1 0.625 0.125 0.625
Pt2 0.625 0.625 0.125
Pt3 0.625 0.625 0.625
Pt4 0.125 0.625 0.625
Y1 0.250 0.250 0.250
Gd1 0.000 0.000 0.000

***

Q: Among the records above, which one has the highest total magnetic moment?
A: GdYPt4

***

Q: Which of these has the highest total magnetic moment?
A: GdYPt4